## Ta2Co21B6 (GGA-PBEsol)

Data for Ta2Co21B6 after structural relaxation.

a b c (Å): 7.317 7.317 7.317
angles (deg): 60.00 60.00 60.00
Fractional positions:
1 Ta 0.250 0.250 0.250
2 Ta 0.750 0.750 0.750
3 Co 0.000 0.000 0.000
4 Co 0.000 0.000 0.338
5 Co 0.000 0.000 0.662
6 Co 0.000 0.338 0.000
7 Co 0.000 0.338 0.662
8 Co 0.000 0.662 0.000
9 Co 0.000 0.662 0.338
10 Co 0.151 0.616 0.616
11 Co 0.338 0.000 0.000
12 Co 0.338 0.000 0.662
13 Co 0.338 0.662 0.000
14 Co 0.384 0.384 0.384
15 Co 0.384 0.384 0.849
16 Co 0.384 0.849 0.384
17 Co 0.616 0.151 0.616
18 Co 0.616 0.616 0.151
19 Co 0.616 0.616 0.616
20 Co 0.662 0.000 0.000
21 Co 0.662 0.000 0.338
22 Co 0.662 0.338 0.000
23 Co 0.849 0.384 0.384
24 B 0.274 0.274 0.726
25 B 0.274 0.726 0.274
26 B 0.274 0.726 0.726
27 B 0.726 0.274 0.274
28 B 0.726 0.274 0.726
29 B 0.726 0.726 0.274

Computed properties:
The formation energy is -330 meV/atom. Its mass density is 9.979 g cm⁻³. Its density of states at the Fermi level is 30.445 states/eV/cell. As for the space group: Fm-3m. For the total magnetization, the calculation gives 17.22 μB per cell.


## CaAlMo2 (GGA-PBEsol)

Data for CaAlMo2 after structural relaxation.

a b c (Å): 5.455 5.455 5.455
angles (deg): 143.64 132.34 61.39
Fractional positions:
1 Ca 0.000 0.000 0.000
2 Al 0.500 0.500 0.000
3 Mo 0.259 0.759 0.500
4 Mo 0.741 0.241 0.500

Computed properties:
The formation energy is 534 meV/atom. Its mass density is 6.110 g cm⁻³. Its density of states at the Fermi level is 3.722 states/eV/cell. As for the space group: Immm. For the total magnetization, the calculation gives 0.00 μB per cell.


## TiGeC2 (GGA-PBEsol)

Data for TiGeC2 after structural relaxation.

a b c (Å): 5.619 5.619 5.619
angles (deg): 130.55 130.55 72.53
Fractional positions:
1 Ti 0.000 0.000 0.000
2 Ti 0.750 0.250 0.500
3 Ge 0.250 0.750 0.500
4 Ge 0.500 0.500 0.000
5 C 0.134 0.625 0.009
6 C 0.375 0.384 0.509
7 C 0.616 0.125 0.991
8 C 0.875 0.866 0.491

Computed properties:
The formation energy is 275 meV/atom. Its mass density is 4.794 g cm⁻³. As for the space group: I-42d. For the total magnetization, the calculation gives 0.00 μB per cell.


## Tc2OsPb (GGA-PBEsol)

Data for Tc2OsPb after structural relaxation.

a b c (Å): 4.803 4.803 4.979
angles (deg): 100.58 100.58 35.36
Fractional positions:
1 Tc 0.237 0.237 0.205
2 Tc 0.763 0.763 0.795
3 Os 0.500 0.500 0.000
4 Pb 0.000 0.000 0.500

Computed properties:
The formation energy is 617 meV/atom. Its mass density is 15.108 g cm⁻³. Its density of states at the Fermi level is 4.409 states/eV/cell. As for the space group: C2/m. For the total magnetization, the calculation gives 0.00 μB per cell.